No. 1
Computed, not measured: an optimized crystal structure of MnICl2 at the PBE level of DFT.

Cell and atoms, written as CIF:
```
data_MnICl2
_chemical_formula_sum 'Mn3 I3 Cl6'
_space_group_name_H-M_alt 'R -3 m'
_space_group_IT_number 166
_space_group_name_Hall '-R 3 2"'
_cell_length_a 3.6457
_cell_length_b 3.6457
_cell_length_c 38.3159
_cell_angle_alpha 90.00
_cell_angle_beta 90.00
_cell_angle_gamma 120.00
loop_
_atom_site_label
_atom_site_fract_x
_atom_site_fract_y
_atom_site_fract_z
Mn1 0.0000 0.0000 0.0000
I1 0.0000 0.0000 0.5000
Cl1 0.0000 0.0000 0.0559
```

Raw formation energy, eV/f.u.: -0.905
Calculated density, g cm⁻³: 2.85
VASP energy, eV per atom: -3.829
E above lowest polymorph, eV/atom: 0.371


No. 2
Computed, not measured: an optimized crystal structure of BaGaHg2 at the PBE level of DFT.

Cell and atoms, written as CIF:
```
data_BaGaHg2
_chemical_formula_sum 'Ba1 Ga1 Hg2'
_space_group_name_H-M_alt 'P 4/m m m'
_space_group_IT_number 123
_space_group_name_Hall '-P 4 2'
_cell_length_a 3.841
_cell_length_b 3.841
_cell_length_c 7.769
_cell_angle_alpha 90.00
_cell_angle_beta 90.00
_cell_angle_gamma 90.00
loop_
_atom_site_label
_atom_site_fract_x
_atom_site_fract_y
_atom_site_fract_z
Ba1 0.000 0.000 0.000
Ga1 0.000 0.000 0.500
Hg1 0.500 0.500 0.293
```

Energy relative to the elements, eV/f.u.: -1.0
Calculated density, g cm⁻³: 8.81
VASP energy, eV per atom: -1.636


No. 3
Computed, not measured: an optimized crystal structure of MnVCoCu at the PBE level of DFT.

Cell and atoms, written as CIF:
```
data_MnVCoCu
_chemical_formula_sum 'Mn4 V4 Co4 Cu4'
_space_group_name_H-M_alt 'F -4 3 m'
_space_group_IT_number 216
_space_group_name_Hall 'F -4 2 3'
_cell_length_a 5.745
_cell_length_b 5.745
_cell_length_c 5.745
_cell_angle_alpha 90.00
_cell_angle_beta 90.00
_cell_angle_gamma 90.00
loop_
_atom_site_label
_atom_site_fract_x
_atom_site_fract_y
_atom_site_fract_z
Mn1 0.000 0.000 0.000
V1 0.250 0.250 0.250
Co1 0.000 0.000 0.500
Cu1 0.250 0.250 0.750
```

Energy relative to the elements, eV/f.u.: 0.1
Calculated density, g cm⁻³: 8.00
VASP energy, eV per atom: -7.340


No. 4
Computed, not measured: an optimized crystal structure of LiLaCdRu2 at the PBE level of DFT.

Cell and atoms, written as CIF:
```
data_LiLaCdRu2
_chemical_formula_sum 'Li1 La1 Cd1 Ru2'
_space_group_name_H-M_alt 'P 4/m m m'
_space_group_IT_number 123
_space_group_name_Hall '-P 4 2'
_cell_length_a 5.025
_cell_length_b 5.025
_cell_length_c 5.566
_cell_angle_alpha 90.00
_cell_angle_beta 90.00
_cell_angle_gamma 90.00
loop_
_atom_site_label
_atom_site_fract_x
_atom_site_fract_y
_atom_site_fract_z
Li1 0.000 0.000 0.000
La1 0.500 0.500 0.000
Cd1 0.500 0.500 0.500
Ru1 0.000 0.500 0.500
```

Energy relative to the elements, eV/f.u.: 6.8
Calculated density, g cm⁻³: 5.44
VASP energy, eV per atom: -3.893


calculated density of number 1 (MnICl2)?
2.85 g cm⁻³


Among the records above, which one has the highest VASP energy?
BaGaHg2